Here is a crystal of BaPCl3 relaxed with PBEsol from the Alexandria database. Energies are from meta-GGA SCAN.

POSCAR file:
```
BaPCl3
1.0
-0.576 4.530 -3.783
-0.417 -3.822 -4.514
-5.887 -0.173 0.690
P Cl Ba
1 3 1
direct
0.500 0.500 0.500 P
0.000 0.000 0.500 Cl
0.000 0.500 0.000 Cl
0.500 0.000 0.000 Cl
0.000 0.000 0.000 Ba
```

Output
Raw total energy in eV per atom: -15.52
Symmetry: No. 221
Formation energy without anion corrections in eV/f.u.: -3.74
Calculated volume in Å³/atom: 41.7